# 1
Material: Li4SnPb2
Method: DFT, PBE-GGA
State: optimized geometry

Cell: 6.515 3.247 7.466 Å, 90.00 92.45 90.00°
Positions (direct):
Li  0.137  0.000  0.367
Li  0.333  0.500  0.097
Li  0.667  0.500  0.903
Li  0.863  0.000  0.633
Sn  0.000  0.000  0.000
Pb  0.308  0.500  0.675
Pb  0.692  0.500  0.325

Calculated values
The value obtained for the formation energy is -0.168 eV per atom. The space group is P2/m (10). The calculation puts the energy at -20.25 eV/cell. Its magnetization is 0.000 μB/cell.

# 2
Material: Nd2ThRhN4
Method: DFT, PBE-GGA
State: optimized geometry

Cell: 6.258 6.258 12.018 Å, 90.00 90.00 147.68°
Positions (direct):
Nd  0.130  0.870  0.552
Nd  0.130  0.870  0.948
Nd  0.870  0.130  0.052
Nd  0.870  0.130  0.448
Th  0.389  0.611  0.750
Th  0.611  0.389  0.250
Rh  0.349  0.651  0.250
Rh  0.651  0.349  0.750
N  0.044  0.956  0.750
N  0.216  0.784  0.136
N  0.216  0.784  0.364
N  0.500  0.500  0.000
N  0.500  0.500  0.500
N  0.784  0.216  0.636
N  0.784  0.216  0.864
N  0.956  0.044  0.250

Calculated values
The space group is Cmcm (63). The raw formation energy is -0.949 eV/atom. The calculation puts the energy at -130.40 eV/cell. Its magnetization is 0.000 μB/cell.

# 3
Material: Pm6TlIn3
Method: DFT, PBE-GGA
State: optimized geometry

Cell: 11.797 3.744 14.752 Å, 90.00 105.14 90.00°
Positions (direct):
Pm  0.016  0.250  0.189
Pm  0.111  0.750  0.419
Pm  0.233  0.250  0.828
Pm  0.324  0.250  0.268
Pm  0.355  0.250  0.629
Pm  0.360  0.750  0.036
Pm  0.640  0.250  0.964
Pm  0.645  0.750  0.371
Pm  0.676  0.750  0.732
Pm  0.767  0.750  0.172
Pm  0.889  0.250  0.581
Pm  0.984  0.750  0.811
Tl  0.458  0.750  0.823
Tl  0.542  0.250  0.177
In  0.120  0.250  0.007
In  0.120  0.750  0.641
In  0.398  0.750  0.455
In  0.602  0.250  0.545
In  0.880  0.250  0.359
In  0.880  0.750  0.993

Calculated values
The value obtained for the formation energy is -0.247 eV per atom. The space group is P2_1/m (11). The calculation puts the energy at -83.11 eV/cell. Its magnetization is 0.001 μB/cell.

# 4
Material: KC3F12
Method: DFT, PBE-GGA
State: optimized geometry

Cell: 10.459 10.459 6.718 Å, 90.00 90.00 120.00°
Positions (direct):
K  0.333  0.667  0.250
K  0.667  0.333  0.750
C  0.115  0.328  0.750
C  0.213  0.885  0.750
C  0.328  0.213  0.250
C  0.672  0.787  0.750
C  0.787  0.115  0.250
C  0.885  0.672  0.250
F  0.026  0.181  0.750
F  0.033  0.395  0.750
F  0.155  0.974  0.750
F  0.168  0.799  0.586
F  0.168  0.799  0.914
F  0.181  0.155  0.250
F  0.201  0.369  0.586
F  0.201  0.369  0.914
F  0.362  0.967  0.750
F  0.369  0.168  0.086
F  0.369  0.168  0.414
F  0.395  0.362  0.250
F  0.605  0.638  0.750
F  0.631  0.832  0.586
F  0.631  0.832  0.914
F  0.638  0.033  0.250
F  0.799  0.631  0.086
F  0.799  0.631  0.414
F  0.819  0.845  0.750
F  0.832  0.201  0.086
F  0.832  0.201  0.414
F  0.845  0.026  0.250
F  0.967  0.605  0.250
F  0.974  0.819  0.250

Calculated values
The space group is P6_3/m (176). The raw formation energy is -1.673 eV/atom. The calculation puts the energy at -155.97 eV/cell. Its magnetization is 0.000 μB/cell.

# 5
Material: Pm2FeSi3Ni12
Method: DFT, PBE-GGA
State: optimized geometry

Cell: 8.933 8.933 8.933 Å, 39.80 39.80 39.80°
Positions (direct):
Pm  0.151  0.151  0.151
Pm  0.849  0.849  0.849
Fe  0.500  0.500  0.500
Si  0.000  0.500  0.500
Si  0.500  0.000  0.500
Si  0.500  0.500  0.000
Ni  0.090  0.090  0.687
Ni  0.090  0.687  0.090
Ni  0.149  0.567  0.567
Ni  0.313  0.910  0.910
Ni  0.433  0.433  0.851
Ni  0.433  0.851  0.433
Ni  0.567  0.149  0.567
Ni  0.567  0.567  0.149
Ni  0.687  0.090  0.090
Ni  0.851  0.433  0.433
Ni  0.910  0.313  0.910
Ni  0.910  0.910  0.313

Calculated values
The space group is R-3m (166). The raw formation energy is -0.066 eV/atom. The calculation puts the energy at -104.79 eV/cell. Its magnetization is 4.137 μB/cell.

# 6
Material: CaLaNd2Y4
Method: DFT, PBE-GGA
State: optimized geometry

Cell: 9.711 9.711 6.917 Å, 110.85 110.85 88.27°
Positions (direct):
Ca  0.000  0.000  0.000
Ca  0.000  0.000  0.500
La  0.000  0.500  0.000
La  0.500  0.000  0.500
Nd  0.000  0.500  0.500
Nd  0.500  0.000  0.000
Nd  0.500  0.500  0.000
Nd  0.500  0.500  0.500
Y  0.250  0.750  0.502
Y  0.250  0.750  0.998
Y  0.260  0.261  0.512
Y  0.261  0.260  0.012
Y  0.739  0.740  0.988
Y  0.740  0.739  0.488
Y  0.750  0.250  0.002
Y  0.750  0.250  0.498

Calculated values
The value obtained for the formation energy is 0.400 eV per atom. The space group is C2/c (15). The calculation puts the energy at -78.24 eV/cell. Its magnetization is 3.689 μB/cell.